## La2PrHoEr2 (PBE)

Data for a geometry-optimized La2PrHoEr2 structure.

```
12
Lattice="5.6499 0.0000 0.0000 0.0000 10.3594 0.0000 0.0000 0.0000 6.9399" Properties=species:S:1:pos:R:3 pbc="T T T"
La 0.0000 0.2557 0.0000
La 0.0000 10.1038 3.4699
La 2.8249 2.0937 1.8323
La 2.8249 8.2657 5.3022
Pr 0.0000 3.2025 4.4368
Pr 0.0000 7.1570 0.9669
Ho 2.8249 4.8980 6.2185
Ho 2.8249 5.4614 2.7485
Er 0.0000 3.8848 1.0126
Er 0.0000 6.4746 4.4825
Er 2.8249 1.3640 5.2453
Er 2.8249 8.9955 1.7754
```

Output
- ΔH_f (0 K) (meV/atom) = 70
- crystal system = orthorhombic
- electronic total energy (eV/atom) = -4.65